[1]
Computed, not measured: a relaxed ZrNiBr2 crystal at the PBE-GGA level of DFT.

The calculation puts the electronic total energy at -4.60 eV per atom. The density is 5.70 g/cm³. The energy relative to the lowest polymorph listed for this composition comes out at 526 meV per atom.

```
data_ZrNiBr2
_space_group_name_H-M_alt 'I m m 2'
_space_group_IT_number 44
_space_group_name_Hall 'I 2 -2'
_cell_length_a 3.3979
_cell_length_b 5.5488
_cell_length_c 9.5766
_cell_angle_alpha 90.00
_cell_angle_beta 90.00
_cell_angle_gamma 90.00
loop_
_atom_site_label
_atom_site_type_symbol
_atom_site_fract_x
_atom_site_fract_y
_atom_site_fract_z
Zr1 Zr 0.0000 0.0000 0.0000
Ni1 Ni 0.0000 0.5000 0.3150
Br1 Br 0.0000 0.0000 0.5617
Br2 Br 0.0000 0.5000 0.7427
```

***

[2]
Computed, not measured: a relaxed RbIn2SeF crystal at the PBE-GGA level of DFT.

The calculation puts the electronic total energy at -2.64 eV per atom. The density is 3.59 g/cm³.

```
data_RbIn2SeF
_space_group_name_H-M_alt 'P 4/m m m'
_space_group_IT_number 123
_space_group_name_Hall '-P 4 2'
_cell_length_a 6.3886
_cell_length_b 6.3886
_cell_length_c 4.6867
_cell_angle_alpha 90.00
_cell_angle_beta 90.00
_cell_angle_gamma 90.00
loop_
_atom_site_label
_atom_site_type_symbol
_atom_site_fract_x
_atom_site_fract_y
_atom_site_fract_z
Rb1 Rb 0.0000 0.0000 0.0000
In1 In 0.0000 0.5000 0.0000
Se1 Se 0.5000 0.5000 0.5000
F1 F 0.0000 0.0000 0.5000
```

***

[3]
Computed, not measured: a relaxed Be2Cd crystal at the PBE-GGA level of DFT.

Its formation energy is 0.292 eV/atom. The calculation puts the electronic total energy at -2.50 eV per atom. The density is 5.45 g/cm³. The energy relative to the lowest polymorph listed for this composition comes out at 63 meV per atom.

```
data_Be2Cd
_space_group_name_H-M_alt 'I 4/m c m'
_space_group_IT_number 140
_space_group_name_Hall '-I 4 2c'
_cell_length_a 4.3097
_cell_length_b 4.3097
_cell_length_c 8.5546
_cell_angle_alpha 90.00
_cell_angle_beta 90.00
_cell_angle_gamma 90.00
loop_
_atom_site_label
_atom_site_type_symbol
_atom_site_fract_x
_atom_site_fract_y
_atom_site_fract_z
Be1 Be 0.1753 0.3247 0.0000
Cd1 Cd 0.0000 0.0000 0.2500
```

***

[4]
Computed, not measured: a relaxed YZn2Se crystal at the PBE-GGA level of DFT.

The calculation puts the electronic total energy at -3.66 eV per atom. The density is 6.07 g/cm³.

```
data_YZn2Se
_space_group_name_H-M_alt 'I -4 m 2'
_space_group_IT_number 119
_space_group_name_Hall 'I -4 -2'
_cell_length_a 4.2775
_cell_length_b 4.2775
_cell_length_c 8.9295
_cell_angle_alpha 90.00
_cell_angle_beta 90.00
_cell_angle_gamma 90.00
loop_
_atom_site_label
_atom_site_type_symbol
_atom_site_fract_x
_atom_site_fract_y
_atom_site_fract_z
Y1 Y 0.0000 0.0000 0.0000
Zn1 Zn 0.0000 0.0000 0.5000
Zn2 Zn 0.0000 0.5000 0.2500
Se1 Se 0.0000 0.5000 0.7500
```

***

Number 1 is which compound? ZrNiBr2